Entry 1:
# MgCuAgPb (PBE, optimized geometry)
data_MgCuAgPb
_chemical_formula_sum 'Mg4 Cu4 Ag4 Pb4'
_space_group_name_H-M_alt 'P 1'
_space_group_IT_number 1
_cell_length_a 6.8488
_cell_length_b 6.8488
_cell_length_c 6.8488
_cell_angle_alpha 90.00
_cell_angle_beta 90.00
_cell_angle_gamma 90.00
loop_
_space_group_symop_operation_xyz
'x,y,z'
loop_
_atom_site_label
_atom_site_type_symbol
_atom_site_fract_x
_atom_site_fract_y
_atom_site_fract_z
Mg1 Mg 0.0000 0.0000 0.0000
Mg2 Mg 0.0000 0.5000 0.5000
Mg3 Mg 0.5000 0.0000 0.5000
Mg4 Mg 0.5000 0.5000 0.0000
Cu1 Cu 0.2500 0.2500 0.2500
Cu2 Cu 0.2500 0.7500 0.7500
Cu3 Cu 0.7500 0.2500 0.7500
Cu4 Cu 0.7500 0.7500 0.2500
Ag1 Ag 0.2500 0.2500 0.7500
Ag2 Ag 0.2500 0.7500 0.2500
Ag3 Ag 0.7500 0.2500 0.2500
Ag4 Ag 0.7500 0.7500 0.7500
Pb1 Pb 0.0000 0.0000 0.5000
Pb2 Pb 0.0000 0.5000 0.0000
Pb3 Pb 0.5000 0.0000 0.0000
Pb4 Pb 0.5000 0.5000 0.5000
# Space group: No. 216
# Energy relative to the elements, eV per atom: 0.094

Entry 2:
# EuLu (PBE, optimized geometry)
data_EuLu
_chemical_formula_sum 'Eu1 Lu1'
_space_group_name_H-M_alt 'P 1'
_space_group_IT_number 1
_cell_length_a 4.0779
_cell_length_b 4.0779
_cell_length_c 4.0779
_cell_angle_alpha 90.00
_cell_angle_beta 90.00
_cell_angle_gamma 90.00
loop_
_space_group_symop_operation_xyz
'x,y,z'
loop_
_atom_site_label
_atom_site_type_symbol
_atom_site_fract_x
_atom_site_fract_y
_atom_site_fract_z
Eu1 Eu 0.0000 0.0000 0.0000
Lu1 Lu 0.5000 0.5000 0.5000
# Space group: No. 221
# Energy relative to the elements, eV per atom: 0.181

Entry 3:
# LaCe2HoAs4 (PBE, optimized geometry)
data_LaCe2HoAs4
_chemical_formula_sum 'La1 Ce2 Ho1 As4'
_space_group_name_H-M_alt 'P 1'
_space_group_IT_number 1
_cell_length_a 7.3228
_cell_length_b 4.2305
_cell_length_c 7.3293
_cell_angle_alpha 90.00
_cell_angle_beta 109.45
_cell_angle_gamma 90.00
loop_
_space_group_symop_operation_xyz
'x,y,z'
loop_
_atom_site_label
_atom_site_type_symbol
_atom_site_fract_x
_atom_site_fract_y
_atom_site_fract_z
La1 La 0.0000 0.0000 0.0000
Ce1 Ce 0.5000 0.0000 0.5000
Ce2 Ce 0.5000 0.5000 0.0000
Ho1 Ho 0.0000 0.5000 0.5000
As1 As 0.2496 0.0000 0.7426
As2 As 0.2553 0.5000 0.2594
As3 As 0.7447 0.5000 0.7406
As4 As 0.7504 0.0000 0.2574
# Space group: No. 10
# Energy relative to the elements, eV per atom: -1.476

Entry 4:
# TaBiH2O6 (PBE, optimized geometry)
data_TaBiH2O6
_chemical_formula_sum 'Ta1 Bi1 H2 O6'
_space_group_name_H-M_alt 'P 1'
_space_group_IT_number 1
_cell_length_a 4.9522
_cell_length_b 5.0813
_cell_length_c 5.6030
_cell_angle_alpha 63.89
_cell_angle_beta 66.59
_cell_angle_gamma 64.42
loop_
_space_group_symop_operation_xyz
'x,y,z'
loop_
_atom_site_label
_atom_site_type_symbol
_atom_site_fract_x
_atom_site_fract_y
_atom_site_fract_z
Ta1 Ta 0.0000 0.0000 0.0000
Bi1 Bi 0.5000 0.5000 0.5000
H1 H 0.1028 0.3029 0.2380
H2 H 0.8972 0.6971 0.7620
O1 O 0.0671 0.7588 0.7538
O2 O 0.2382 0.6086 0.2299
O3 O 0.3823 0.0959 0.7610
O4 O 0.6177 0.9041 0.2390
O5 O 0.7618 0.3914 0.7701
O6 O 0.9329 0.2412 0.2462
# Space group: No. 2
# Energy, eV/f.u.: -66.987

Entry 5:
# AcSn2Au5 (PBE, optimized geometry)
data_AcSn2Au5
_chemical_formula_sum 'Ac2 Sn4 Au10'
_space_group_name_H-M_alt 'P 1'
_space_group_IT_number 1
_cell_length_a 4.4275
_cell_length_b 7.3094
_cell_length_c 11.6300
_cell_angle_alpha 90.00
_cell_angle_beta 90.00
_cell_angle_gamma 90.00
loop_
_space_group_symop_operation_xyz
'x,y,z'
loop_
_atom_site_label
_atom_site_type_symbol
_atom_site_fract_x
_atom_site_fract_y
_atom_site_fract_z
Ac1 Ac 0.0000 0.0000 0.0000
Ac2 Ac 0.5000 0.5000 0.5000
Sn1 Sn 0.0000 0.5000 0.2406
Sn2 Sn 0.0000 0.5000 0.7594
Sn3 Sn 0.5000 0.0000 0.2594
Sn4 Sn 0.5000 0.0000 0.7406
Au1 Au 0.0000 0.1993 0.3770
Au2 Au 0.0000 0.1993 0.6230
Au3 Au 0.0000 0.5000 0.0000
Au4 Au 0.0000 0.8007 0.3770
Au5 Au 0.0000 0.8007 0.6230
Au6 Au 0.5000 0.0000 0.5000
Au7 Au 0.5000 0.3007 0.1230
Au8 Au 0.5000 0.3007 0.8770
Au9 Au 0.5000 0.6993 0.1230
Au10 Au 0.5000 0.6993 0.8770
# Space group: No. 71
# Energy relative to the elements, eV per atom: -0.404

Entry 6:
# VTcIr (PBE, optimized geometry)
data_VTcIr
_chemical_formula_sum 'V4 Tc4 Ir4'
_space_group_name_H-M_alt 'P 1'
_space_group_IT_number 1
_cell_length_a 8.4833
_cell_length_b 3.8746
_cell_length_c 5.4080
_cell_angle_alpha 90.00
_cell_angle_beta 106.49
_cell_angle_gamma 90.00
loop_
_space_group_symop_operation_xyz
'x,y,z'
loop_
_atom_site_label
_atom_site_type_symbol
_atom_site_fract_x
_atom_site_fract_y
_atom_site_fract_z
V1 V 0.0000 0.0000 0.0000
V2 V 0.1843 0.5000 0.3566
V3 V 0.5000 0.5000 0.0000
V4 V 0.6843 0.0000 0.3566
Tc1 Tc 0.1710 0.5000 0.8466
Tc2 Tc 0.3418 0.0000 0.6778
Tc3 Tc 0.6710 0.0000 0.8466
Tc4 Tc 0.8418 0.5000 0.6778
Ir1 Ir 0.0105 0.0000 0.5014
Ir2 Ir 0.3408 0.0000 0.1772
Ir3 Ir 0.5105 0.5000 0.5014
Ir4 Ir 0.8408 0.5000 0.1772
# Space group: No. 8
# Energy relative to the elements, eV per atom: -0.288
# Excess energy over the best structure of this formula in the dataset, meV/atom: 0

Entry 7:
# BaCdIn2Fe (PBE, optimized geometry)
data_BaCdIn2Fe
_chemical_formula_sum 'Ba1 Cd1 In2 Fe1'
_space_group_name_H-M_alt 'P 1'
_space_group_IT_number 1
_cell_length_a 5.1011
_cell_length_b 5.1011
_cell_length_c 5.2226
_cell_angle_alpha 90.00
_cell_angle_beta 90.00
_cell_angle_gamma 90.00
loop_
_space_group_symop_operation_xyz
'x,y,z'
loop_
_atom_site_label
_atom_site_type_symbol
_atom_site_fract_x
_atom_site_fract_y
_atom_site_fract_z
Ba1 Ba 0.0000 0.0000 0.0000
Cd1 Cd 0.5000 0.5000 0.0000
In1 In 0.0000 0.5000 0.5000
In2 In 0.5000 0.0000 0.5000
Fe1 Fe 0.5000 0.5000 0.5000
# Space group: No. 123
# Energy relative to the elements, eV per atom: -0.106

Entry 8:
# Zr3IrBr (PBE, optimized geometry)
data_Zr3IrBr
_chemical_formula_sum 'Zr3 Ir1 Br1'
_space_group_name_H-M_alt 'P 1'
_space_group_IT_number 1
_cell_length_a 5.1395
_cell_length_b 5.1395
_cell_length_c 5.1395
_cell_angle_alpha 90.00
_cell_angle_beta 90.00
_cell_angle_gamma 90.00
loop_
_space_group_symop_operation_xyz
'x,y,z'
loop_
_atom_site_label
_atom_site_type_symbol
_atom_site_fract_x
_atom_site_fract_y
_atom_site_fract_z
Zr1 Zr 0.0000 0.0000 0.5000
Zr2 Zr 0.0000 0.5000 0.0000
Zr3 Zr 0.5000 0.0000 0.0000
Ir1 Ir 0.0000 0.0000 0.0000
Br1 Br 0.5000 0.5000 0.5000
# Space group: No. 221
# Excess energy over the best structure of this formula in the dataset, meV/atom: 0
# Uncorrected formation energy, meV per atom: 164.5

Entry 9:
# ZrHgSb2 (PBE, optimized geometry)
data_ZrHgSb2
_chemical_formula_sum 'Zr4 Hg4 Sb8'
_space_group_name_H-M_alt 'P 1'
_space_group_IT_number 1
_cell_length_a 6.6153
_cell_length_b 6.6153
_cell_length_c 13.1396
_cell_angle_alpha 90.00
_cell_angle_beta 90.00
_cell_angle_gamma 90.00
loop_
_space_group_symop_operation_xyz
'x,y,z'
loop_
_atom_site_label
_atom_site_type_symbol
_atom_site_fract_x
_atom_site_fract_y
_atom_site_fract_z
Zr1 Zr 0.0000 0.0000 0.0000
Zr2 Zr 0.0000 0.5000 0.2500
Zr3 Zr 0.5000 0.0000 0.7500
Zr4 Zr 0.5000 0.5000 0.5000
Hg1 Hg 0.0000 0.0000 0.5000
Hg2 Hg 0.0000 0.5000 0.7500
Hg3 Hg 0.5000 0.0000 0.2500
Hg4 Hg 0.5000 0.5000 0.0000
Sb1 Sb 0.2426 0.2500 0.1250
Sb2 Sb 0.2500 0.7426 0.3750
Sb3 Sb 0.2500 0.7574 0.8750
Sb4 Sb 0.2574 0.2500 0.6250
Sb5 Sb 0.7426 0.7500 0.6250
Sb6 Sb 0.7500 0.2426 0.8750
Sb7 Sb 0.7500 0.2574 0.3750
Sb8 Sb 0.7574 0.7500 0.1250
# Space group: No. 122
# Uncorrected formation energy, meV per atom: 77.5

Entry 10:
# In2SbP (PBE, optimized geometry)
data_In2SbP
_chemical_formula_sum 'In2 Sb1 P1'
_space_group_name_H-M_alt 'P 1'
_space_group_IT_number 1
_cell_length_a 3.6208
_cell_length_b 3.6208
_cell_length_c 7.6292
_cell_angle_alpha 90.00
_cell_angle_beta 90.00
_cell_angle_gamma 90.00
loop_
_space_group_symop_operation_xyz
'x,y,z'
loop_
_atom_site_label
_atom_site_type_symbol
_atom_site_fract_x
_atom_site_fract_y
_atom_site_fract_z
In1 In 0.0000 0.0000 0.0000
In2 In 0.5000 0.5000 0.2812
Sb1 Sb 0.5000 0.5000 0.6962
P1 P 0.0000 0.0000 0.5425
# Space group: No. 99
# Excess energy over the best structure of this formula in the dataset, meV/atom: 316
# Uncorrected formation energy, meV per atom: 172.7

Entry 11:
# Nd11Sm4Er9 (PBE, optimized geometry)
data_Nd11Sm4Er9
_chemical_formula_sum 'Nd11 Sm4 Er9'
_space_group_name_H-M_alt 'P 1'
_space_group_IT_number 1
_cell_length_a 15.3626
_cell_length_b 15.3626
_cell_length_c 3.7003
_cell_angle_alpha 90.00
_cell_angle_beta 90.00
_cell_angle_gamma 113.08
loop_
_space_group_symop_operation_xyz
'x,y,z'
loop_
_atom_site_label
_atom_site_type_symbol
_atom_site_fract_x
_atom_site_fract_y
_atom_site_fract_z
Nd1 Nd 0.0000 0.0000 0.0000
Nd2 Nd 0.0436 0.4059 0.0000
Nd3 Nd 0.1601 0.8399 0.0000
Nd4 Nd 0.2899 0.2899 0.0000
Nd5 Nd 0.3670 0.6330 0.0000
Nd6 Nd 0.4059 0.0436 0.0000
Nd7 Nd 0.5941 0.9564 0.0000
Nd8 Nd 0.6330 0.3670 0.0000
Nd9 Nd 0.7101 0.7101 0.0000
Nd10 Nd 0.8399 0.1601 0.0000
Nd11 Nd 0.9564 0.5941 0.0000
Sm1 Sm 0.2432 0.4448 0.5000
Sm2 Sm 0.4448 0.2432 0.5000
Sm3 Sm 0.5552 0.7568 0.5000
Sm4 Sm 0.7568 0.5552 0.5000
Er1 Er 0.0656 0.2117 0.5000
Er2 Er 0.1645 0.6329 0.5000
Er3 Er 0.2117 0.0656 0.5000
Er4 Er 0.3671 0.8355 0.5000
Er5 Er 0.5000 0.5000 0.5000
Er6 Er 0.6329 0.1645 0.5000
Er7 Er 0.7883 0.9344 0.5000
Er8 Er 0.8355 0.3671 0.5000
Er9 Er 0.9344 0.7883 0.5000
# Space group: No. 65
# Energy relative to the elements, eV per atom: 0.061

| no. | magnetization (μB per cell) |
| --- | --- |
| 1 | 0.0 |
| 2 | 7.5 |
| 3 | 1.3 |
| 4 | 0.0 |
| 5 | 0.0 |
| 6 | 0.0 |
| 7 | 1.4 |
| 8 | 1.7 |
| 9 | 0.0 |
| 10 | 0.0 |
| 11 | 0.0 |